TcHOsW2 | PBE-GGA | optimized geometry

abc: 4.013 4.013 3.924
angles: 90.00 90.00 90.00
Atoms (fractional coordinates):
Tc  0.000  0.000  0.000
H  0.000  0.000  0.500
Os  0.500  0.500  0.000
W  0.000  0.500  0.500
W  0.500  0.000  0.500

- Magnetization: 0.00 μB/cell
- DOS(E_F): 0.805 states/eV per atom
- Raw total energy: -10.046 eV per atom
- Space-group type: P4/mmm, No. 123
- Energy relative to the lowest polymorph listed for this composition: 0.000 eV/atom